No. 1
LiLa4NiO8 | PBE with a Hubbard U | optimized geometry

Lattice parameters (Å, degrees): 6.966 6.966 5.353 90.00 90.00 134.85
Fractional coordinates of all 14 atoms:
La (0.637, 0.363, 0.500)
La (0.138, 0.862, 0.000)
La (0.862, 0.138, 0.000)
La (0.363, 0.637, 0.500)
Li (0.500, 0.500, 0.000)
O (0.754, 0.754, 0.743)
O (0.177, 0.823, 0.500)
O (0.754, 0.754, 0.257)
O (0.246, 0.246, 0.257)
O (0.246, 0.246, 0.743)
O (0.680, 0.320, 0.000)
O (0.823, 0.177, 0.500)
O (0.320, 0.680, 0.000)
Ni (0.000, 0.000, 0.500)

Computed properties:
E_tot: -7.386 eV per atom
symmetry: Cmmm


No. 2
Li3LaNiO4 | PBE with a Hubbard U | optimized geometry

Lattice parameters (Å, degrees): 10.263 10.263 10.263 102.73 112.94 112.94
Fractional coordinates of all 72 atoms:
O (0.417, 0.888, 0.650)
O (0.268, 0.651, 0.740)
O (0.086, 0.359, 0.101)
O (0.912, 0.260, 0.529)
O (0.414, 0.391, 0.149)
O (0.737, 0.221, 0.138)
O (0.242, 0.851, 0.265)
O (0.917, 0.517, 0.779)
O (0.412, 0.133, 0.901)
O (0.264, 0.157, 0.238)
O (0.236, 0.593, 0.012)
O (0.258, 0.899, 0.985)
O (0.586, 0.735, 0.977)
O (0.418, 0.643, 0.407)
O (0.082, 0.107, 0.843)
O (0.764, 0.776, 0.357)
O (0.088, 0.617, 0.349)
O (0.583, 0.233, 0.471)
O (0.758, 0.023, 0.609)
O (0.732, 0.471, 0.383)
O (0.582, 0.988, 0.224)
O (0.232, 0.099, 0.510)
O (0.768, 0.279, 0.867)
O (0.083, 0.862, 0.600)
O (0.914, 0.015, 0.273)
O (0.263, 0.400, 0.483)
O (0.742, 0.727, 0.641)
O (0.918, 0.762, 0.026)
O (0.237, 0.350, 0.767)
O (0.763, 0.529, 0.112)
O (0.736, 0.974, 0.893)
O (0.588, 0.490, 0.721)
Li (0.180, 0.224, 0.076)
Li (0.859, 0.453, 0.277)
Li (0.820, 0.896, 0.044)
Li (0.823, 0.152, 0.297)
Li (0.676, 0.344, 0.703)
Li (0.320, 0.526, 0.174)
Li (0.852, 0.956, 0.776)
Li (0.648, 0.794, 0.474)
Li (0.148, 0.924, 0.104)
Li (0.176, 0.723, 0.582)
Li (0.145, 0.671, 0.848)
Li (0.824, 0.406, 0.547)
Li (0.177, 0.474, 0.329)
Li (0.641, 0.297, 0.973)
Li (0.680, 0.854, 0.206)
Li (0.855, 0.703, 0.526)
Li (0.323, 0.276, 0.921)
Li (0.141, 0.418, 0.594)
Li (0.677, 0.598, 0.953)
Li (0.355, 0.079, 0.402)
Li (0.324, 0.027, 0.668)
Li (0.645, 0.047, 0.724)
Li (0.352, 0.826, 0.146)
Li (0.359, 0.332, 0.656)
La (0.505, 0.942, 0.937)
La (0.995, 0.563, 0.058)
La (0.995, 0.808, 0.313)
La (0.495, 0.687, 0.682)
La (0.005, 0.063, 0.568)
La (0.005, 0.318, 0.813)
La (0.505, 0.187, 0.192)
La (0.495, 0.432, 0.437)
Ni (0.825, 0.655, 0.795)
Ni (0.140, 0.170, 0.345)
Ni (0.640, 0.545, 0.220)
Ni (0.360, 0.580, 0.905)
Ni (0.325, 0.780, 0.420)
Ni (0.675, 0.095, 0.455)
Ni (0.175, 0.970, 0.830)
Ni (0.860, 0.205, 0.030)

Computed properties:
Fermi-level density of states: 0.0 states/eV per cell
E_tot: -5.714 eV per atom
symmetry: I4_1/a


No. 3
LiLa4Ni3WO12 | PBE with a Hubbard U | optimized geometry

Lattice parameters (Å, degrees): 8.711 5.473 5.565 89.82 90.00 90.00
Fractional coordinates of all 21 atoms:
O (0.500, 0.793, 0.704)
O (0.759, 0.000, 0.000)
O (0.500, 0.207, 0.296)
O (0.000, 0.676, 0.822)
O (0.237, 0.500, 0.500)
O (0.000, 0.324, 0.178)
O (0.000, 0.201, 0.680)
O (0.763, 0.500, 0.500)
O (0.241, 0.000, 0.000)
O (0.500, 0.280, 0.776)
O (0.000, 0.799, 0.320)
O (0.500, 0.720, 0.224)
La (0.217, 0.500, 0.000)
La (0.783, 0.500, 0.000)
La (0.296, 0.000, 0.500)
La (0.704, 0.000, 0.500)
Li (0.500, 0.500, 0.000)
W (0.000, 0.500, 0.500)
Ni (0.500, 0.500, 0.500)
Ni (0.000, 0.000, 0.000)
Ni (0.500, 0.000, 0.000)

Computed properties:
excess energy over the best structure of this formula in the dataset: 0.000 eV/atom
symmetry: P2/m


No. 4
LiLa4Ni3WO12 | PBE with a Hubbard U | optimized geometry

Lattice parameters (Å, degrees): 5.519 5.564 8.494 90.00 90.00 90.00
Fractional coordinates of all 21 atoms:
Ni (0.000, 0.000, 0.000)
Ni (0.000, 0.000, 0.500)
Ni (0.500, 0.500, 0.500)
O (0.000, 0.000, 0.746)
O (0.254, 0.250, 0.500)
O (0.500, 0.500, 0.755)
O (0.259, 0.245, 0.000)
O (0.741, 0.245, 0.000)
O (0.500, 0.500, 0.245)
O (0.259, 0.755, 0.000)
O (0.000, 0.000, 0.254)
O (0.746, 0.250, 0.500)
O (0.741, 0.755, 0.000)
O (0.254, 0.750, 0.500)
O (0.746, 0.750, 0.500)
Li (0.500, 0.000, 0.000)
La (0.000, 0.500, 0.720)
La (0.500, 0.000, 0.306)
La (0.500, 0.000, 0.694)
La (0.000, 0.500, 0.280)
W (0.500, 0.500, 0.000)

Computed properties:
excess energy over the best structure of this formula in the dataset: 0.005 eV/atom
symmetry: Pmmm


Total moment (computed, μB per formula unit): 1.012; 2.040; 7.000; 7.000